MgMnIn2 | PBE | relaxed

Results
Space-group type   F-43m, No. 216
Energy relative to the elements   265 meV per atom

a = 4.9873 Å, b = 4.9873 Å, c = 4.9873 Å
α = 60.00°, β = 60.00°, γ = 60.00°
With the nearest neighbours (Å) after each atom.
Sites, in units of the cell vectors:
Mg1 0.0000 0.0000 0.0000  4 Mn 3.05, 4 In 3.05
Mn1 0.7500 0.7500 0.7500  4 Mg 3.05, 4 In 3.05
In1 0.2500 0.2500 0.2500  4 In 3.05, 4 Mg 3.05
In2 0.5000 0.5000 0.5000  4 In 3.05, 4 Mn 3.05


Sm2TlI | PBE | relaxed

Results
Polymorph energy (0 for the lowest one)   0.018 eV/atom
Space-group type   R-3m, No. 166
Uncorrected formation energy   -0.57 eV per atom

a = 7.7890 Å, b = 7.7890 Å, c = 7.7890 Å
α = 33.91°, β = 33.91°, γ = 33.91°
With the nearest neighbours (Å) after each atom.
Sites, in units of the cell vectors:
Sm1 0.2412 0.2412 0.2412  3 Tl 3.09, 3 I 3.31
Sm2 0.7588 0.7588 0.7588  3 Tl 3.09, 3 I 3.31
Tl1 0.5000 0.5000 0.5000  6 Sm 3.09
I1 0.0000 0.0000 0.0000  6 Sm 3.31